(1)
## TiNiAs (GGA-PBE)

Data for a relaxed structure of TiNiAs.

CIF file:
```
data_TiNiAs
_symmetry_space_group_name_H-M 'I 4 m m'
_symmetry_Int_Tables_number 107
_symmetry_space_group_name_Hall 'I 4 -2'
_cell_length_a 3.438
_cell_length_b 3.438
_cell_length_c 7.478
_cell_angle_alpha 90.00
_cell_angle_beta 90.00
_cell_angle_gamma 90.00
loop_
_atom_site_label
_atom_site_fract_x
_atom_site_fract_y
_atom_site_fract_z
Ti1 0.000 0.000 0.000
Ni1 0.000 0.000 0.666
As1 0.000 0.000 0.341
```

Results
E_tot: -6.482 eV/atom
energy of formation from the pure elements: -0.374 eV/atom
total magnetic moment: 0.00 μB per formula unit
crystal system: tetragonal



(2)
## SnP3Ru (GGA-PBE)

Data for a relaxed structure of SnP3Ru.

CIF file:
```
data_SnP3Ru
_symmetry_space_group_name_H-M 'P m -3 m'
_symmetry_Int_Tables_number 221
_symmetry_space_group_name_Hall '-P 4 2 3'
_cell_length_a 4.682
_cell_length_b 4.682
_cell_length_c 4.682
_cell_angle_alpha 90.00
_cell_angle_beta 90.00
_cell_angle_gamma 90.00
loop_
_atom_site_label
_atom_site_fract_x
_atom_site_fract_y
_atom_site_fract_z
Sn1 0.000 0.000 0.000
P1 0.000 0.500 0.500
Ru1 0.500 0.500 0.500
```

Results
E_tot: -5.389 eV/atom
energy above the lowest structure with this stoichiometry: 0 meV per atom
energy of formation from the pure elements: 0.513 eV/atom
total magnetic moment: 0.00 μB per formula unit
crystal system: cubic



(3)
## Ho12PuSc7 (GGA-PBE)

Data for a relaxed structure of Ho12PuSc7.

CIF file:
```
data_Ho12PuSc7
_symmetry_space_group_name_H-M 'R -3'
_symmetry_Int_Tables_number 148
_symmetry_space_group_name_Hall '-R 3'
_cell_length_a 14.6171
_cell_length_b 14.6171
_cell_length_c 9.3701
_cell_angle_alpha 90.00
_cell_angle_beta 90.00
_cell_angle_gamma 120.00
loop_
_atom_site_label
_atom_site_fract_x
_atom_site_fract_y
_atom_site_fract_z
Ho1 0.0227 0.7716 0.4077
Ho2 0.0763 0.4867 0.6223
Pu1 0.0000 0.0000 0.0000
Sc1 0.0000 0.0000 0.5000
Sc2 0.0009 0.1373 0.2654
```

Results
E_tot: -5.537 eV/atom
energy of formation from the pure elements: 0.142 eV/atom
total magnetic moment: 5.06 μB per formula unit
crystal system: trigonal



(4)
## KMgNi (GGA-PBE)

Data for a relaxed structure of KMgNi.

CIF file:
```
data_KMgNi
_symmetry_space_group_name_H-M 'F -4 3 m'
_symmetry_Int_Tables_number 216
_symmetry_space_group_name_Hall 'F -4 2 3'
_cell_length_a 7.288
_cell_length_b 7.288
_cell_length_c 7.288
_cell_angle_alpha 90.00
_cell_angle_beta 90.00
_cell_angle_gamma 90.00
loop_
_atom_site_label
_atom_site_fract_x
_atom_site_fract_y
_atom_site_fract_z
K1 0.000 0.000 0.000
Mg1 0.250 0.250 0.250
Ni1 0.250 0.250 0.750
```

Results
E_tot: -1.641 eV/atom
energy above the lowest structure with this stoichiometry: 877 meV per atom
energy of formation from the pure elements: 1.183 eV/atom
total magnetic moment: 0.47 μB per formula unit
crystal system: cubic



(5)
## ZnGaH3 (GGA-PBE)

Data for a relaxed structure of ZnGaH3.

CIF file:
```
data_ZnGaH3
_symmetry_space_group_name_H-M 'P m -3 m'
_symmetry_Int_Tables_number 221
_symmetry_space_group_name_Hall '-P 4 2 3'
_cell_length_a 3.715
_cell_length_b 3.715
_cell_length_c 3.715
_cell_angle_alpha 90.00
_cell_angle_beta 90.00
_cell_angle_gamma 90.00
loop_
_atom_site_label
_atom_site_fract_x
_atom_site_fract_y
_atom_site_fract_z
Zn1 0.000 0.000 0.000
Ga1 0.500 0.500 0.500
H1 0.000 0.500 0.500
```

Results
E_tot: -2.426 eV/atom
energy above the lowest structure with this stoichiometry: 91 meV per atom
total magnetic moment: 0.00 μB per formula unit
crystal system: cubic



(6)
## Nd4GaSbS9 (GGA-PBE)

Data for a relaxed structure of Nd4GaSbS9.

CIF file:
```
data_Nd4GaSbS9
_symmetry_space_group_name_H-M 'A e a 2'
_symmetry_Int_Tables_number 41
_cell_length_a 13.863
_cell_length_b 14.247
_cell_length_c 14.571
_cell_angle_alpha 90.00
_cell_angle_beta 90.00
_cell_angle_gamma 90.00
loop_
_symmetry_equiv_pos_as_xyz
'x,y,z'
'-x,-y,z'
'-x+1/2,y+1/2,z'
'x+1/2,-y+1/2,z'
'x,y+1/2,z+1/2'
'-x,-y+1/2,z+1/2'
'-x+1/2,y,z+1/2'
'x+1/2,-y,z+1/2'
loop_
_atom_site_label
_atom_site_fract_x
_atom_site_fract_y
_atom_site_fract_z
Nd1 0.100 0.174 0.000
Nd2 0.105 0.111 0.551
Nd3 0.183 0.166 0.282
Nd4 0.187 0.391 0.510
Ga1 0.092 0.395 0.772
Sb1 0.113 0.420 0.234
S1 0.000 0.000 0.360
S2 0.000 0.000 0.997
S3 0.007 0.194 0.179
S4 0.070 0.254 0.424
S5 0.081 0.091 0.747
S6 0.100 0.409 0.064
S7 0.189 0.304 0.866
S8 0.200 0.486 0.687
S9 0.247 0.059 0.930
S10 0.247 0.234 0.615
```

Results
E_tot: -5.768 eV/atom
total magnetic moment: 0.00 μB per formula unit
crystal system: orthorhombic